No. 1
An optimized crystal structure of Th4Rh3Au, computed with PBE.

Results
**Crystal system**: monoclinic

Lattice parameters (Å, degrees): 3.928 7.440 7.440 71.51 74.56 74.56
Fractional positions:
Th1 0.112 0.248 0.283
Th2 0.382 0.741 0.241
Au1 0.661 0.466 0.966
Rh1 0.848 0.526 0.523
Th3 0.112 0.783 0.747
Rh2 0.654 0.973 0.473
Th4 0.382 0.242 0.742
Rh3 0.848 0.023 0.026

=====

No. 2
An optimized crystal structure of Th2Rh2Au, computed with PBE.

Results
**Crystal system**: tetragonal

Lattice parameters (Å, degrees): 3.774 7.663 7.663 90.00 90.00 90.00
Fractional positions:
Th1 0.500 0.826 0.326
Th2 0.500 0.326 0.174
Rh1 0.000 0.133 0.367
Th3 0.500 0.174 0.674
Th4 0.500 0.674 0.826
Au1 0.000 0.500 0.500
Rh2 0.000 0.867 0.633
Rh3 0.000 0.633 0.133
Rh4 0.000 0.367 0.867
Au2 0.000 0.000 0.000

=====

No. 3
An optimized crystal structure of ThRhAu, computed with PBE.

Results
**Crystal system**: orthorhombic
**ΔE to the lowest computed polymorph**: 135 meV/atom

Lattice parameters (Å, degrees): 4.811 7.180 8.190 90.00 90.00 90.00
Fractional positions:
Au1 0.750 0.421 0.928
Th1 0.750 0.003 0.818
Au2 0.250 0.921 0.572
Th2 0.250 0.997 0.182
Th3 0.250 0.503 0.682
Rh1 0.750 0.783 0.066
Au3 0.750 0.079 0.428
Rh2 0.250 0.217 0.934
Rh3 0.250 0.283 0.434
Au4 0.250 0.579 0.072
Th4 0.750 0.497 0.318
Rh4 0.750 0.717 0.566

=====

No. 4
An optimized crystal structure of Th4RhAu, computed with PBE.

Results
**Crystal system**: tetragonal
**ΔE to the lowest computed polymorph**: 0 meV/atom

Lattice parameters (Å, degrees): 6.053 7.329 7.329 90.00 90.00 90.00
Fractional positions:
Th1 0.000 0.654 0.829
Th2 0.500 0.654 0.171
Th3 0.500 0.829 0.654
Th4 0.000 0.171 0.654
Rh1 0.250 0.500 0.500
Th5 0.000 0.829 0.346
Au1 0.250 0.000 0.000
Th6 0.500 0.346 0.829
Au2 0.750 0.000 0.000
Th7 0.500 0.171 0.346
Th8 0.000 0.346 0.171
Rh2 0.750 0.500 0.500

=====

No. 5
An optimized crystal structure of ThRhAu2, computed with PBE.

Results
**Crystal system**: trigonal

Lattice parameters (Å, degrees): 4.920 4.920 4.911 59.94 59.94 60.00
Fractional positions:
Th1 0.500 0.500 0.500
Rh1 0.000 0.000 0.000
Au1 0.750 0.750 0.749
Au2 0.250 0.250 0.251

=====

No. 6
An optimized crystal structure of Th2Rh4Au, computed with PBE.

Results
**Crystal system**: orthorhombic

Lattice parameters (Å, degrees): 4.118 5.810 5.810 91.54 90.00 90.00
Fractional positions:
Th1 0.000 0.781 0.219
Rh1 0.000 0.743 0.743
Au1 0.500 0.500 0.500
Rh2 0.500 0.500 0.000
Th2 0.000 0.219 0.781
Rh3 0.000 0.257 0.257
Rh4 0.500 0.000 0.500

=====

No. 7
An optimized crystal structure of Th6RhAu, computed with PBE.

Results
**Crystal system**: tetragonal

Lattice parameters (Å, degrees): 9.149 9.148 5.208 73.45 73.45 33.07
Fractional positions:
Th1 0.247 0.247 0.753
Th2 0.607 0.606 0.894
Th3 0.106 0.106 0.394
Th4 0.393 0.394 0.106
Th5 0.753 0.753 0.247
Th6 0.894 0.894 0.606
Au1 0.500 0.500 0.500
Rh1 0.000 0.000 0.000

=====

No. 8
An optimized crystal structure of Th4RhAu, computed with PBE.

Results
**Crystal system**: tetragonal
**ΔE to the lowest computed polymorph**: 390 meV/atom

Lattice parameters (Å, degrees): 8.060 8.060 8.060 107.70 107.70 113.08
Fractional positions:
Th1 0.732 0.027 0.294
Au1 0.994 0.494 0.500
Th2 0.268 0.570 0.302
Th3 0.715 0.518 0.198
Th4 0.777 0.982 0.794
Au2 0.244 0.244 0.000
Rh1 0.506 0.006 0.500
Th5 0.320 0.518 0.802
Rh2 0.756 0.756 0.000
Th6 0.732 0.438 0.706
Th7 0.268 0.965 0.698
Th8 0.188 0.982 0.206

=====

No. 9
An optimized crystal structure of Th3Rh2Au, computed with PBE.

Results
**Crystal system**: monoclinic

Lattice parameters (Å, degrees): 5.931 7.369 8.150 106.01 90.00 113.73
Fractional positions:
Rh1 0.662 0.325 0.581
Th1 0.500 0.000 0.250
Rh2 0.338 0.675 0.419
Th2 0.819 0.637 0.909
Th3 0.500 0.000 0.750
Th4 0.181 0.363 0.091
Rh3 0.662 0.325 0.081
Au1 0.000 0.000 0.750
Au2 0.000 0.000 0.250
Rh4 0.338 0.675 0.919
Th5 0.819 0.637 0.409
Th6 0.181 0.363 0.591

=====

No. 10
An optimized crystal structure of ThRhAu2, computed with PBE.

Results
**Crystal system**: monoclinic

Lattice parameters (Å, degrees): 4.226 5.332 8.023 90.00 90.00 113.00
Fractional positions:
Au1 0.633 0.271 0.942
Th1 0.935 0.867 0.750
Th2 0.065 0.133 0.250
Rh1 0.229 0.468 0.750
Rh2 0.771 0.532 0.250
Au2 0.633 0.271 0.558
Au3 0.367 0.729 0.058
Au4 0.367 0.729 0.442

=====

No. 11
An optimized crystal structure of Th3Rh3Au2, computed with PBE.

Results
**Crystal system**: hexagonal

Lattice parameters (Å, degrees): 5.683 8.677 8.677 120.00 90.00 90.00
Fractional positions:
Rh1 0.250 0.650 0.650
Rh2 0.750 0.650 0.000
Au1 0.500 0.333 0.667
Rh3 0.750 0.000 0.650
Au2 0.000 0.333 0.667
Au3 0.500 0.667 0.333
Th1 0.750 0.000 0.311
Th2 0.250 0.311 0.311
Au4 0.000 0.667 0.333
Rh4 0.250 0.350 0.000
Rh5 0.750 0.350 0.350
Th3 0.250 0.000 0.689
Th4 0.250 0.689 0.000
Th5 0.750 0.311 0.000
Th6 0.750 0.689 0.689
Rh6 0.250 0.000 0.350

=====

No. 12
An optimized crystal structure of Th4RhAu3, computed with PBE.

Results
**Crystal system**: orthorhombic

Lattice parameters (Å, degrees): 3.968 4.518 11.508 90.00 90.00 90.00
Fractional positions:
Au1 0.500 0.000 0.925
Th1 0.000 0.500 0.855
Th2 0.500 0.500 0.350
Rh1 0.500 0.500 0.104
Au2 0.000 0.000 0.409
Au3 0.000 0.500 0.576
Th3 0.500 0.000 0.647
Th4 0.000 0.000 0.134

=====

Raw total energy / eV/atom: -7.75 -7.45 -6.65 -7.23 -5.76 -7.51 -7.22 -6.84 -7.50 -5.99 -7.07 -6.54
DFT formation energy / kJ per mole of atoms: -84.23 -85.92 -60.73 -49.13 -41.32 -69.95 -31.65 -11.50 -76.55 -63.42 -68.78 -65.86